(1)
! PBEsol MgCuSe2, relaxed; values from VASP
! V   80.0 Å³/cell
! DFT total energy   -3.735 eV per atom
&SYSTEM
  ibrav = 0, nat = 4, ntyp = 3
/
ATOMIC_SPECIES
Cu 63.55 Cu.upf
Mg 24.30 Mg.upf
Se 78.96 Se.upf
ATOMIC_POSITIONS angstrom
Cu 0.376 -2.197 -1.199
Mg -0.551 -2.718 2.265
Se 0.000 0.000 0.000
Se 1.933 -2.301 2.024
CELL_PARAMETERS angstrom
-2.108 -2.613 -0.958
2.860 -1.780 -1.440
1.007 -2.823 5.488

(2)
! PBEsol MgCuSe, relaxed; values from VASP
! Energy above the lowest structure with this stoichiometry   0.319 eV per atom
! V   55.8 Å³/cell
! DFT total energy   -3.506 eV per atom
&SYSTEM
  ibrav = 0, nat = 3, ntyp = 3
/
ATOMIC_SPECIES
Cu 63.55 Cu.upf
Mg 24.30 Mg.upf
Se 78.96 Se.upf
ATOMIC_POSITIONS angstrom
Cu -0.840 -0.670 2.396
Mg 0.000 0.000 0.000
Se -1.681 -1.339 4.793
CELL_PARAMETERS angstrom
-2.572 -2.634 2.200
1.201 -1.445 3.855
-1.990 1.401 3.531

(3)
! PBEsol Mg2CuSe4, relaxed; values from VASP
! Energy above the lowest structure with this stoichiometry   0.111 eV per atom
! V   150.4 Å³/cell
! DFT total energy   -3.742 eV per atom
&SYSTEM
  ibrav = 0, nat = 7, ntyp = 3
/
ATOMIC_SPECIES
Cu 63.55 Cu.upf
Mg 24.30 Mg.upf
Se 78.96 Se.upf
ATOMIC_POSITIONS angstrom
Cu 0.000 0.000 0.000
Mg -0.647 -3.328 1.616
Mg 1.989 -2.286 -2.219
Se -0.160 -3.937 -1.180
Se 1.502 -1.677 0.577
Se -0.388 -1.638 -3.753
Se -3.092 -2.707 0.180
CELL_PARAMETERS angstrom
-4.376 -3.215 2.048
0.896 -1.131 -5.621
4.822 -1.269 2.970

(4)
! PBEsol Mg4CuSe2, relaxed; values from VASP
! Energy above the lowest structure with this stoichiometry   0.000 eV per atom
! V   155.1 Å³/cell
! DFT total energy   -3.135 eV per atom
&SYSTEM
  ibrav = 0, nat = 7, ntyp = 3
/
ATOMIC_SPECIES
Mg 24.30 Mg.upf
Cu 63.55 Cu.upf
Se 78.96 Se.upf
ATOMIC_POSITIONS angstrom
Mg -5.292 -2.370 2.512
Mg -7.891 2.620 1.041
Mg -8.666 -2.403 3.464
Mg -4.517 2.653 0.089
Cu 0.000 0.000 0.000
Se -3.760 -0.503 1.266
Se -9.423 0.754 2.287
CELL_PARAMETERS angstrom
-2.511 3.259 1.795
-3.617 1.509 -2.188
-7.056 -4.518 3.946

How do the records compare in formation energy without anion corrections? In the order shown, they have -0.30, -0.21, -0.43, -0.43 eV per atom.